Computed, not measured: an optimized crystal structure of Fe2NiCl at the PBE-GGA level of DFT.

Total energy: -23.6 eV/cell
DOS(E_F): 2.09 states/eV/f.u.
Space group: Cm (8)
Relative energy among the computed polymorphs: 110 meV/atom
Formation energy from raw total energies: 0.24 eV per atom

a b c (Å): 4.079 4.079 6.194
angles (deg): 93.97 93.97 40.86
Fractional positions:
Fe (0.000, 0.000, 0.000)
Fe (0.728, 0.728, 0.198)
Ni (0.271, 0.271, 0.852)
Cl (0.299, 0.299, 0.493)